DFT (GGA+U) results for HgBMoO6 after structural relaxation.

Values from the calculation:
Theoretical density = 3.96 g/cm3
Uncorrected energy = -6.12 eV/atom

```
data_HgBMoO6
_chemical_formula_sum 'Hg1 B1 Mo1 O6'
_space_group_name_H-M_alt 'P 1'
_space_group_IT_number 1
_cell_length_a 5.662
_cell_length_b 5.850
_cell_length_c 6.485
_cell_angle_alpha 87.89
_cell_angle_beta 65.09
_cell_angle_gamma 62.42
loop_
_space_group_symop_operation_xyz
'x,y,z'
loop_
_atom_site_label
_atom_site_fract_x
_atom_site_fract_y
_atom_site_fract_z
Hg1 0.000 0.000 0.000
B1 0.837 0.779 0.474
Mo1 0.411 0.792 0.378
O1 0.043 0.771 0.532
O2 0.219 0.066 0.682
O3 0.334 0.001 0.188
O4 0.634 0.692 0.596
O5 0.635 0.474 0.212
O6 0.791 0.867 0.284
```